[1]
Compound: MoIr
Source: OQMD
Functional: GGA-PBE
Structure: optimized geometry

Summary:
- Spin magnetization: 0.00 Bohr magnetons per cell
- Crystal system: hexagonal
- Formation enthalpy at 0 K: -0.197 eV/atom

a = 2.784 Å, b = 2.784 Å, c = 4.474 Å
α = 90.00°, β = 90.00°, γ = 120.00°
Positions (direct):
Ir 0.667 0.333 0.750
Mo 0.333 0.667 0.250

[2]
Compound: MoIr
Source: OQMD
Functional: GGA-PBE
Structure: optimized geometry

Summary:
- Spin magnetization: 0.00 Bohr magnetons per cell
- Crystal system: orthorhombic
- Formation enthalpy at 0 K: -0.324 eV/atom

a = 4.464 Å, b = 2.774 Å, c = 4.847 Å
α = 90.00°, β = 90.00°, γ = 90.00°
Positions (direct):
Ir 0.250 0.000 0.324
Ir 0.750 0.000 0.676
Mo 0.750 0.500 0.171
Mo 0.250 0.500 0.829

[3]
Compound: MoIr
Source: OQMD
Functional: GGA-PBE
Structure: optimized geometry

Summary:
- Spin magnetization: 0.08 Bohr magnetons per cell
- Crystal system: cubic
- Formation enthalpy at 0 K: 0.758 eV/atom

a = 3.661 Å, b = 3.661 Å, c = 3.661 Å
α = 60.00°, β = 60.00°, γ = 60.00°
Site moments in Bohr magnetons follow the coordinates.
Positions (direct):
Ir 0.000 0.000 0.000  -0.01
Mo 0.500 0.500 0.500  0.07

[4]
Compound: Mo2Ir
Source: OQMD
Functional: GGA-PBE
Structure: optimized geometry

Summary:
- Spin magnetization: 0.00 Bohr magnetons per cell
- Crystal system: cubic
- Formation enthalpy at 0 K: 0.218 eV/atom
- Offset from the most stable computed form: 0.00 eV per formula unit

a = 5.117 Å, b = 5.117 Å, c = 5.117 Å
α = 60.00°, β = 60.00°, γ = 60.00°
Positions (direct):
Ir 0.000 0.000 0.000
Ir 0.250 0.250 0.250
Mo 0.625 0.625 0.125
Mo 0.625 0.125 0.625
Mo 0.125 0.625 0.625
Mo 0.625 0.625 0.625

[5]
Compound: Mo3IrN
Source: OQMD
Functional: GGA-PBE
Structure: optimized geometry

Summary:
- Spin magnetization: 0.00 Bohr magnetons per cell
- Crystal system: cubic
- E: -50.72 eV/cell

a = 4.089 Å, b = 4.089 Å, c = 4.089 Å
α = 90.00°, β = 90.00°, γ = 90.00°
Positions (direct):
Ir 0.000 0.000 0.000
Mo 0.500 0.500 0.000
Mo 0.500 0.000 0.500
Mo 0.000 0.500 0.500
N 0.500 0.500 0.500

[6]
Compound: NaMoIr
Source: OQMD
Functional: GGA-PBE
Structure: optimized geometry

Summary:
- Spin magnetization: 0.01 Bohr magnetons per cell
- Crystal system: cubic
- Offset from the most stable computed form: 0.00 eV per formula unit

a = 4.296 Å, b = 4.296 Å, c = 4.296 Å
α = 60.00°, β = 60.00°, γ = 60.00°
Positions (direct):
Ir 0.000 0.000 0.000
Mo 0.250 0.250 0.250
Na 0.750 0.750 0.750

[7]
Compound: Na3Mo2Ir4
Source: OQMD
Functional: GGA-PBE
Structure: optimized geometry

Summary:
- Spin magnetization: 0.38 Bohr magnetons per cell
- Crystal system: hexagonal
- E: -56.62 eV/cell

a = 6.537 Å, b = 6.537 Å, c = 4.286 Å
α = 90.00°, β = 90.00°, γ = 120.00°
Site moments in Bohr magnetons follow the coordinates.
Positions (direct):
Ir 0.752 0.002 0.000  0.01
Ir 0.250 0.248 0.000  0.01
Ir 0.667 0.333 0.000  0.02
Ir 0.998 0.750 0.000  0.03
Mo 0.333 0.667 0.000  0.22
Mo 0.000 0.000 0.500  0.02
Na 0.448 0.018 0.500  0.00
Na 0.982 0.430 0.500  0.00
Na 0.570 0.552 0.500  0.00

[8]
Compound: NaSrMoIr
Source: OQMD
Functional: GGA-PBE
Structure: optimized geometry

Summary:
- Spin magnetization: 4.09 Bohr magnetons per cell
- Crystal system: cubic
- Offset from the most stable computed form: 1.60 eV per formula unit

a = 5.018 Å, b = 5.018 Å, c = 5.018 Å
α = 60.00°, β = 60.00°, γ = 60.00°
Positions (direct):
Ir 0.500 0.500 0.500
Mo 0.000 0.000 0.000
Na 0.750 0.750 0.750
Sr 0.250 0.250 0.250